8
Lattice="6.8498 0.0000 0.0000 0.0000 3.8488 0.0000 -2.2303 0.0000 6.5799" Properties=species:S:1:pos:R:3 comment="GGA-PBE Tm4GeCSe2, relaxed" e_form_raw_mev_per_atom=-1201 density_kg_m3=8790 pbc="T T T"
Tm 1.0257 0.0000 1.3748
Tm -0.1334 1.9244 5.1154
Tm 4.7529 1.9244 1.4645
Tm 3.5938 0.0000 5.2051
Ge 3.4249 0.0000 0.0000
C 0.0000 1.9244 0.0000
Se -1.1151 0.0000 3.2899
Se 2.3098 1.9244 3.2899



5
Lattice="3.8166 0.0000 0.0000 0.0000 3.8166 0.0000 0.0000 0.0000 5.2978" Properties=species:S:1:pos:R:3 comment="GGA-PBE VGeC2Se, relaxed" e_form_raw_mev_per_atom=1963 density_kg_m3=4875 pbc="T T T"
V 0.0000 0.0000 0.0000
Ge 1.9083 1.9083 2.6489
C 0.0000 1.9083 2.6489
C 1.9083 0.0000 2.6489
Se 1.9083 1.9083 0.0000